Below is an optimized crystal structure of ZrAg, with properties calculated at the PBE level.

Values from the calculation:
formation enthalpy at 0 K = 36.6 kJ/mol of formula units
total moment = 0.0 μB/cell
calculated volume = 21.82 Å³ per atom
calculated density = 7.6 g/cm3

Lattice parameters (Å, degrees): 10.0597 10.0597 2.9877 90.00 90.00 120.00
Space group P6_3/m (No. 176)
Symmetry-distinct sites (fractional):
Zr  0.1401  0.6063  0.2500 [6 per cell]
Ag  0.1005  0.3024  0.7500 [6 per cell]